Density functional theory data (PBE) for a geometry-optimized La4ErTm3Bi8 structure.

## Properties
Energy relative to the elements, eV/atom: -0.92

Cell lengths 9.1657, 9.1230, 9.1660 Å; angles 120.16, 120.00, 90.00 degrees
Sites, in units of the cell vectors:
La 0.5000 0.0000 0.0000
La 0.5000 0.0000 0.5000
La 0.0000 0.0000 0.0000
La 0.0000 0.0000 0.5000
Er 0.0000 0.5000 0.0000
Tm 0.5000 0.5000 0.0000
Tm 0.5000 0.5000 0.5000
Tm 0.0000 0.5000 0.5000
Bi 0.2450 0.7343 0.9893
Bi 0.2450 0.7343 0.4899
Bi 0.2553 0.2661 0.5107
Bi 0.7443 0.7343 0.9893
Bi 0.2557 0.2657 0.0107
Bi 0.7447 0.7339 0.4893
Bi 0.7550 0.2657 0.5101
Bi 0.7550 0.2657 0.0107

Density functional theory data (PBE) for a geometry-optimized LaErTm2Bi4 structure.

## Properties
Energy relative to the elements, eV/atom: -0.84

Cell lengths 6.3847, 6.3847, 7.8076 Å; angles 114.13, 114.13, 90.00 degrees
Sites, in units of the cell vectors:
La 0.9376 0.9376 0.0000
Er 0.4371 0.4371 0.0000
Tm 0.1870 0.6870 0.5000
Tm 0.6870 0.1870 0.5000
Bi 0.9371 0.4376 0.0000
Bi 0.4376 0.9371 0.0000
Bi 0.1925 0.1925 0.5110
Bi 0.6815 0.6815 0.4890

Density functional theory data (PBE) for a geometry-optimized La2Y3ErBi6 structure.

## Properties
Energy relative to the elements, eV/atom: -0.93

Cell lengths 7.8926, 7.8926, 7.8802 Å; angles 99.63, 99.63, 120.02 degrees
Sites, in units of the cell vectors:
La 0.3347 0.6653 0.0000
La 0.6653 0.3347 0.0000
Y 0.1705 0.8295 0.5000
Y 0.8295 0.1705 0.5000
Y 0.5000 0.5000 0.5000
Er 0.0000 0.0000 0.0000
Bi 0.9152 0.5900 0.7440
Bi 0.7625 0.7625 0.2597
Bi 0.0848 0.4100 0.2560
Bi 0.5900 0.9152 0.7440
Bi 0.2375 0.2375 0.7403
Bi 0.4100 0.0848 0.2560

Density functional theory data (PBE) for a geometry-optimized La3YEr2Bi6 structure.

## Properties
Energy relative to the elements, eV/atom: -0.95

Cell lengths 7.9547, 7.9547, 7.9098 Å; angles 99.64, 99.64, 119.99 degrees
Sites, in units of the cell vectors:
La 0.1661 0.8339 0.5000
La 0.8339 0.1661 0.5000
La 0.5000 0.5000 0.5000
Y 0.0000 0.0000 0.0000
Er 0.3332 0.6668 0.0000
Er 0.6668 0.3332 0.0000
Bi 0.9213 0.5864 0.7638
Bi 0.7436 0.7436 0.2356
Bi 0.0787 0.4136 0.2362
Bi 0.5864 0.9213 0.7638
Bi 0.2564 0.2564 0.7644
Bi 0.4136 0.0787 0.2362

Density functional theory data (PBE) for a geometry-optimized LiEr2Bi structure.

## Properties
Polymorph energy (0 for the lowest one), eV/atom: 0.481
Energy relative to the elements, eV/atom: 0.14

Cell lengths 3.4547, 3.4547, 11.6644 Å; angles 81.48, 81.48, 60.00 degrees
Sites, in units of the cell vectors:
Li 0.5000 0.5000 0.5000
Bi 0.0000 0.0000 0.0000
Er 0.0906 0.0906 0.7283
Er 0.9094 0.9094 0.2717

Density functional theory data (PBE) for a geometry-optimized LiErBi structure.

## Properties
Polymorph energy (0 for the lowest one), eV/atom: 0.044
Energy relative to the elements, eV/atom: -0.53

Cell lengths 4.1454, 4.4997, 4.4997 Å; angles 120.00, 90.00, 90.00 degrees
Sites, in units of the cell vectors:
Li 0.8334 0.0000 0.0000
Bi 0.8333 0.6667 0.3333
Er 0.3333 0.3333 0.6667

Density functional theory data (PBE) for a geometry-optimized LiEr8Bi6 structure.

## Properties
Energy relative to the elements, eV/atom: -0.42

Cell lengths 8.3607, 8.3607, 9.2830 Å; angles 63.24, 63.24, 60.00 degrees
Sites, in units of the cell vectors:
Li 0.0000 0.0000 0.0000
Er 0.5752 0.1874 0.3638
Er 0.8126 0.1265 0.6362
Er 0.1265 0.4248 0.6362
Er 0.6660 0.6660 0.0019
Er 0.3340 0.3340 0.9981
Er 0.8735 0.5752 0.3638
Er 0.1874 0.8735 0.3638
Er 0.4248 0.8126 0.6362
Bi 0.4212 0.0654 0.7934
Bi 0.9346 0.2800 0.2066
Bi 0.2800 0.5788 0.2066
Bi 0.7200 0.4212 0.7934
Bi 0.0654 0.7200 0.7934
Bi 0.5788 0.9346 0.2066

Density functional theory data (PBE) for a geometry-optimized Li3ErBi2 structure.

## Properties
Energy relative to the elements, eV/atom: -0.60

Cell lengths 4.5883, 7.4314, 8.4503 Å; angles 90.00, 90.00, 90.00 degrees
Sites, in units of the cell vectors:
Li 0.0000 0.4864 0.9201
Li 0.0000 0.9864 0.0799
Li 0.5000 0.6437 0.1623
Li 0.5000 0.1437 0.8377
Li 0.0000 0.3531 0.3077
Li 0.0000 0.8531 0.6923
Er 0.5000 0.5200 0.5486
Er 0.5000 0.0200 0.4514
Bi 0.5000 0.7549 0.8458
Bi 0.5000 0.2549 0.1542
Bi 0.0000 0.2419 0.6393
Bi 0.0000 0.7419 0.3607

Density functional theory data (PBE) for a geometry-optimized LiEr4Bi2 structure.

## Properties
Energy relative to the elements, eV/atom: -0.33

Cell lengths 7.5826, 6.4711, 9.1226 Å; angles 90.00, 118.05, 90.00 degrees
Sites, in units of the cell vectors:
Li 0.2513 0.7500 0.2969
Li 0.7487 0.2500 0.7031
Er 0.5516 0.4992 0.2154
Er 0.0884 0.7500 0.8866
Er 0.9116 0.2500 0.1134
Er 0.5516 0.0008 0.2154
Er 0.0027 0.2500 0.5270
Er 0.4484 0.9992 0.7846
Er 0.4484 0.5008 0.7846
Er 0.9973 0.7500 0.4730
Bi 0.8202 0.7500 0.0763
Bi 0.1798 0.2500 0.9237
Bi 0.3407 0.2500 0.4265
Bi 0.6593 0.7500 0.5735

Density functional theory data (PBE) for a geometry-optimized Li2Er3Bi3 structure.

## Properties
Energy relative to the elements, eV/atom: -0.65

Cell lengths 6.2454, 8.8903, 8.8903 Å; angles 120.00, 90.00, 90.00 degrees
Sites, in units of the cell vectors:
Li 0.0000 0.3333 0.6667
Li 0.5000 0.6667 0.3333
Li 0.0000 0.6667 0.3333
Li 0.5000 0.3333 0.6667
Er 0.7500 0.2441 0.0000
Er 0.7500 0.7559 0.7559
Er 0.7500 0.0000 0.2441
Er 0.2500 0.7559 0.0000
Er 0.2500 0.2441 0.2441
Er 0.2500 0.0000 0.7559
Bi 0.7500 0.6052 0.0000
Bi 0.7500 0.3948 0.3948
Bi 0.7500 0.0000 0.6052
Bi 0.2500 0.3948 0.0000
Bi 0.2500 0.6052 0.6052
Bi 0.2500 0.0000 0.3948

Density functional theory data (PBE) for a geometry-optimized Li4ErBi2 structure.

## Properties
Energy relative to the elements, eV/atom: -0.51

Cell lengths 4.5690, 8.1611, 8.1611 Å; angles 90.00, 90.00, 90.00 degrees
Sites, in units of the cell vectors:
Li 0.0000 0.1033 0.3485
Li 0.0000 0.8967 0.6515
Li 0.5000 0.1515 0.6033
Li 0.5000 0.8485 0.3967
Li 0.5000 0.3967 0.8485
Li 0.5000 0.6033 0.1515
Li 0.0000 0.3485 0.1033
Li 0.0000 0.6515 0.8967
Er 0.5000 0.0000 0.0000
Er 0.0000 0.5000 0.5000
Bi 0.0000 0.2077 0.7923
Bi 0.0000 0.7923 0.2077
Bi 0.5000 0.7077 0.7077
Bi 0.5000 0.2923 0.2923

Density functional theory data (PBE) for a geometry-optimized LiErBi structure.

## Properties
Polymorph energy (0 for the lowest one), eV/atom: 0.266
Energy relative to the elements, eV/atom: -0.31

Cell lengths 4.1739, 4.1739, 5.3818 Å; angles 112.82, 112.82, 90.00 degrees
Sites, in units of the cell vectors:
Er 0.9473 0.9473 0.8945
Bi 0.2943 0.2943 0.5886
Li 0.6084 0.6084 0.2169

Density functional theory data (PBE) for a geometry-optimized LiErBi structure.

## Properties
Polymorph energy (0 for the lowest one), eV/atom: 0.000
Energy relative to the elements, eV/atom: -0.57

Cell lengths 4.4539, 7.5322, 13.1272 Å; angles 89.71, 90.00, 90.00 degrees
Sites, in units of the cell vectors:
Li 0.2500 0.9918 0.0943
Li 0.2500 0.8380 0.4534
Li 0.7500 0.6436 0.8047
Li 0.7500 0.1620 0.5466
Li 0.2500 0.3564 0.1953
Li 0.7500 0.0082 0.9057
Er 0.7500 0.5195 0.3803
Er 0.2500 0.9801 0.7009
Er 0.7500 0.0199 0.2991
Er 0.7500 0.6495 0.0751
Er 0.2500 0.4805 0.6197
Er 0.2500 0.3505 0.9249
Bi 0.2500 0.7764 0.9121
Bi 0.7500 0.2745 0.7532
Bi 0.7500 0.7724 0.5765
Bi 0.7500 0.2236 0.0879
Bi 0.2500 0.2276 0.4235
Bi 0.2500 0.7255 0.2468

Density functional theory data (PBE) for a geometry-optimized LiEr2Bi structure.

## Properties
Polymorph energy (0 for the lowest one), eV/atom: 0.000
Energy relative to the elements, eV/atom: -0.34

Cell lengths 4.3971, 4.8614, 4.8614 Å; angles 90.00, 90.00, 90.00 degrees
Sites, in units of the cell vectors:
Li 0.5000 0.0000 0.0000
Bi 0.5000 0.5000 0.5000
Er 0.0000 0.0000 0.5000
Er 0.0000 0.5000 0.0000

Density functional theory data (PBE) for a geometry-optimized Li7ErBi4 structure.

## Properties
Energy relative to the elements, eV/atom: -0.26

Cell lengths 5.1683, 8.9103, 6.8316 Å; angles 85.65, 67.77, 73.14 degrees
Sites, in units of the cell vectors:
Li 0.7814 0.9032 0.5341
Li 0.2186 0.0968 0.4659
Li 0.0696 0.6348 0.2261
Li 0.9304 0.3652 0.7739
Li 0.3479 0.5584 0.7458
Li 0.5000 0.0000 0.0000
Li 0.6521 0.4416 0.2542
Er 0.0000 0.0000 0.0000
Bi 0.5821 0.2207 0.6151
Bi 0.4179 0.7793 0.3849
Bi 0.7102 0.7022 0.8775
Bi 0.2898 0.2978 0.1225

Density functional theory data (PBE) for a geometry-optimized LiNdErBi structure.

## Properties
Energy relative to the elements, eV/atom: -0.31

Cell lengths 5.3690, 5.3690, 5.3690 Å; angles 60.00, 60.00, 60.00 degrees
Sites, in units of the cell vectors:
Li 0.5000 0.5000 0.5000
Nd 0.2500 0.2500 0.2500
Bi 0.0000 0.0000 0.0000
Er 0.7500 0.7500 0.7500

Density functional theory data (PBE) for a geometry-optimized LiErBi2O5 structure.

## Properties
Energy relative to the elements, uncorrected, kJ/mol of atoms: -188

Cell lengths 3.4226, 7.4849, 10.6232 Å; angles 90.00, 90.00, 103.22 degrees
Sites, in units of the cell vectors:
Li 0.5050 0.0099 0.9941
Li 0.4950 0.9901 0.4941
Er 0.7930 0.5861 0.4884
Er 0.2070 0.4139 0.9884
Bi 0.8976 0.7952 0.7590
Bi 0.1377 0.2753 0.6868
Bi 0.1024 0.2048 0.2590
Bi 0.8623 0.7247 0.1868
O 0.3606 0.7212 0.0431
O 0.6980 0.3960 0.8550
O 0.4914 0.9827 0.7981
O 0.2836 0.5672 0.6366
O 0.9375 0.8751 0.5629
O 0.6394 0.2788 0.5431
O 0.3020 0.6040 0.3550
O 0.5086 0.0173 0.2981
O 0.7164 0.4328 0.1366
O 0.0625 0.1249 0.0629

Density functional theory data (PBE) for a geometry-optimized LiEr2BiO6 structure.

## Properties
Energy relative to the elements, uncorrected, kJ/mol of atoms: -230

Cell lengths 5.6381, 5.6382, 6.0530 Å; angles 62.24, 62.24, 60.00 degrees
Sites, in units of the cell vectors:
Li 0.7836 0.7836 0.6491
Er 0.5241 0.5241 0.4277
Er 0.0218 0.0218 0.9346
Bi 0.3198 0.3198 0.0407
O 0.6013 0.2267 0.2338
O 0.2267 0.9382 0.2338
O 0.9382 0.6013 0.2338
O 0.4169 0.7046 0.7539
O 0.7046 0.1247 0.7539
O 0.1247 0.4169 0.7539

Density functional theory data (PBE) for a geometry-optimized LiErBiO4 structure.

## Properties
Energy relative to the elements, uncorrected, kJ/mol of atoms: -198

Cell lengths 6.7730, 6.7230, 6.7230 Å; angles 60.31, 59.75, 59.75 degrees
Sites, in units of the cell vectors:
Li 0.6122 0.6378 0.1378
Li 0.3878 0.3622 0.8622
Er 0.0000 0.0000 0.0000
Er 0.0000 0.5000 0.5000
Bi 0.5000 0.0000 0.5000
Bi 0.0000 0.0000 0.5000
O 0.7584 0.7626 0.7206
O 0.2416 0.7794 0.7374
O 0.7584 0.2206 0.2626
O 0.2416 0.2374 0.2794
O 0.2116 0.7612 0.2612
O 0.7660 0.7612 0.2612
O 0.2340 0.2388 0.7388
O 0.7884 0.2388 0.7388

Density functional theory data (PBE) for a geometry-optimized LiErBiPb structure.

## Properties
Energy relative to the elements, eV/atom: -0.33

Cell lengths 5.3360, 5.3360, 5.3360 Å; angles 60.00, 60.00, 60.00 degrees
Sites, in units of the cell vectors:
Pb 0.2500 0.2500 0.2500
Li 0.0000 0.0000 0.0000
Bi 0.7500 0.7500 0.7500
Er 0.5000 0.5000 0.5000